1.
Entry from Alexandria via LeMat-Bulk: a relaxed structure of Cs2TlGe2 (GGA-PBE).

Properties
Size of the total moment = 0.00 μB per formula unit
Total energy = -2.68 eV/atom
Formation energy = -14 meV/atom

a b c (Å): 7.469 7.195 10.092
angles (deg): 108.72 90.00 121.27
Fractional coordinates of all 10 atoms:
1 Cs 0.477 0.290 0.118
2 Cs 0.186 0.710 0.382
3 Cs 0.523 0.710 0.882
4 Cs 0.814 0.290 0.618
5 Tl 0.933 0.000 0.250
6 Tl 0.067 0.000 0.750
7 Ge 0.663 0.673 0.513
8 Ge 0.989 0.327 0.987
9 Ge 0.337 0.327 0.487
10 Ge 0.011 0.673 0.013


2.
Entry from Alexandria via LeMat-Bulk: a relaxed structure of Cs2Tl2Ge3 (GGA-PBE).

Properties
Size of the total moment = 0.00 μB per formula unit
Total energy = -2.87 eV/atom
Formation energy = 34 meV/atom

a b c (Å): 5.242 7.683 8.342
angles (deg): 126.20 90.00 109.95
Fractional coordinates of all 7 atoms:
1 Cs 0.844 0.687 0.236
2 Cs 0.156 0.313 0.764
3 Tl 0.842 0.683 0.736
4 Tl 0.158 0.317 0.264
5 Ge 0.500 0.000 0.000
6 Ge 0.574 0.147 0.355
7 Ge 0.426 0.853 0.645